(1)
# TbSc2Ni (GGA-PBE, optimized geometry)
data_TbSc2Ni
_cell_length_a 3.4894
_cell_length_b 3.4894
_cell_length_c 26.9152
_cell_angle_alpha 90.00
_cell_angle_beta 90.00
_cell_angle_gamma 120.00
_symmetry_space_group_name_H-M 'R -3 m'
_symmetry_Int_Tables_number 166
_symmetry_space_group_name_Hall '-R 3 2"'
loop_
_atom_site_label
_atom_site_fract_x
_atom_site_fract_y
_atom_site_fract_z
Tb1 0.0000 0.0000 0.0000
Sc1 0.0000 0.0000 0.2257
Ni1 0.0000 0.0000 0.5000
# **Size of the total moment**: 0.000 μB/atom
# **Energy above the lowest structure with this stoichiometry**: 192 meV/atom
# **Fermi-level density of states**: 1.640 states/eV/atom
# **E**: -70.0 eV/cell
# **ΔH_f (0 K)**: -0.0616 eV per atom

(2)
# Tb2ScNi9 (GGA-PBE, optimized geometry)
data_Tb2ScNi9
_cell_length_a 4.9082
_cell_length_b 4.9082
_cell_length_c 16.2510
_cell_angle_alpha 90.00
_cell_angle_beta 90.00
_cell_angle_gamma 120.00
_symmetry_space_group_name_H-M 'P 63/m m c'
_symmetry_Int_Tables_number 194
_symmetry_space_group_name_Hall '-P 6c 2c'
loop_
_atom_site_label
_atom_site_fract_x
_atom_site_fract_y
_atom_site_fract_z
Tb1 0.3333 0.6667 0.0442
Sc1 0.3333 0.6667 0.2500
Ni1 0.0000 0.0000 0.0000
Ni2 0.0000 0.0000 0.2500
Ni3 0.1669 0.3338 0.6286
Ni4 0.3333 0.6667 0.7500
# **Size of the total moment**: 0.058 μB/atom
# **Fermi-level density of states**: 1.308 states/eV/atom
# **E**: -144.3 eV/cell
# **ΔH_f (0 K)**: -0.3788 eV per atom

(3)
# TbSc3Ni8 (GGA-PBE, optimized geometry)
data_TbSc3Ni8
_cell_length_a 4.9314
_cell_length_b 4.9314
_cell_length_c 24.2620
_cell_angle_alpha 90.00
_cell_angle_beta 90.00
_cell_angle_gamma 120.00
_symmetry_space_group_name_H-M 'R 3 m'
_symmetry_Int_Tables_number 160
_symmetry_space_group_name_Hall 'R 3 -2"'
loop_
_atom_site_label
_atom_site_fract_x
_atom_site_fract_y
_atom_site_fract_z
Tb1 0.0000 0.0000 0.0000
Sc1 0.0000 0.0000 0.1266
Sc2 0.0000 0.0000 0.4977
Sc3 0.0000 0.0000 0.6205
Ni1 0.0000 0.0000 0.3113
Ni2 0.0000 0.0000 0.8117
Ni3 0.0007 0.5003 0.0633
Ni4 0.1676 0.3353 0.8935
# **Size of the total moment**: 0.000 μB/atom
# **Energy above the lowest structure with this stoichiometry**: 0 meV/atom
# **Fermi-level density of states**: 0.670 states/eV/atom
# **E**: -227.4 eV/cell
# **ΔH_f (0 K)**: -0.4944 eV per atom

(4)
# TbScNi2 (GGA-PBE, optimized geometry)
data_TbScNi2
_cell_length_a 3.2967
_cell_length_b 3.2967
_cell_length_c 6.5034
_cell_angle_alpha 90.00
_cell_angle_beta 90.00
_cell_angle_gamma 90.00
_symmetry_space_group_name_H-M 'P 4/m m m'
_symmetry_Int_Tables_number 123
_symmetry_space_group_name_Hall '-P 4 2'
loop_
_atom_site_label
_atom_site_fract_x
_atom_site_fract_y
_atom_site_fract_z
Tb1 0.0000 0.0000 0.0000
Sc1 0.0000 0.0000 0.5000
Ni1 0.5000 0.5000 0.2775
# **Size of the total moment**: 0.000 μB/atom
# **Energy above the lowest structure with this stoichiometry**: 31 meV/atom
# **Fermi-level density of states**: 1.021 states/eV/atom
# **E**: -24.2 eV/cell
# **ΔH_f (0 K)**: -0.4121 eV per atom

(5)
# TbSc3Ni2 (GGA-PBE, optimized geometry)
data_TbSc3Ni2
_cell_length_a 3.4664
_cell_length_b 8.9409
_cell_length_c 7.9823
_cell_angle_alpha 90.00
_cell_angle_beta 90.00
_cell_angle_gamma 90.00
_symmetry_space_group_name_H-M 'P m c 21'
_symmetry_Int_Tables_number 26
_symmetry_space_group_name_Hall 'P 2c -2'
loop_
_atom_site_label
_atom_site_fract_x
_atom_site_fract_y
_atom_site_fract_z
Tb1 0.0000 0.0708 0.0000
Sc1 0.0000 0.2958 0.6601
Sc2 0.5000 0.2228 0.3209
Sc3 0.5000 0.4365 0.9814
Ni1 0.0000 0.4248 0.2599
Ni2 0.5000 0.0843 0.7190
# **Size of the total moment**: 0.000 μB/atom
# **Fermi-level density of states**: 1.135 states/eV/atom
# **E**: -74.1 eV/cell
# **ΔH_f (0 K)**: -0.3103 eV per atom

(6)
# TbSc5Ni2 (GGA-PBE, optimized geometry)
data_TbSc5Ni2
_cell_length_a 3.5289
_cell_length_b 11.9664
_cell_length_c 16.4749
_cell_angle_alpha 90.00
_cell_angle_beta 90.00
_cell_angle_gamma 90.00
_symmetry_space_group_name_H-M 'C m c m'
_symmetry_Int_Tables_number 63
_symmetry_space_group_name_Hall '-C 2c 2'
loop_
_atom_site_label
_atom_site_fract_x
_atom_site_fract_y
_atom_site_fract_z
Tb1 0.0000 0.1446 0.2500
Sc1 0.0000 0.1204 0.7500
Sc2 0.0000 0.1558 0.0439
Sc3 0.0000 0.4438 0.1015
Ni1 0.0000 0.2387 0.6230
# **Size of the total moment**: 0.000 μB/atom
# **Fermi-level density of states**: 1.293 states/eV/atom
# **E**: -197.3 eV/cell
# **ΔH_f (0 K)**: -0.1858 eV per atom

(7)
# Tb12ScNi6 (GGA-PBE, optimized geometry)
data_Tb12ScNi6
_cell_length_a 9.8192
_cell_length_b 9.8192
_cell_length_c 9.8192
_cell_angle_alpha 90.00
_cell_angle_beta 90.00
_cell_angle_gamma 90.00
_symmetry_space_group_name_H-M 'I m -3'
_symmetry_Int_Tables_number 204
_symmetry_space_group_name_Hall '-I 2 2 3'
loop_
_atom_site_label
_atom_site_fract_x
_atom_site_fract_y
_atom_site_fract_z
Tb1 0.0000 0.1845 0.3078
Sc1 0.0000 0.0000 0.0000
Ni1 0.0000 0.3770 0.5000
# **Size of the total moment**: 0.084 μB/atom
# **Fermi-level density of states**: 1.338 states/eV/atom
# **E**: -202.1 eV/cell
# **ΔH_f (0 K)**: -0.2353 eV per atom

(8)
# TbScNi2 (GGA-PBE, optimized geometry)
data_TbScNi2
_cell_length_a 6.5763
_cell_length_b 6.5763
_cell_length_c 6.5763
_cell_angle_alpha 90.00
_cell_angle_beta 90.00
_cell_angle_gamma 90.00
_symmetry_space_group_name_H-M 'F m -3 m'
_symmetry_Int_Tables_number 225
_symmetry_space_group_name_Hall '-F 4 2 3'
loop_
_atom_site_label
_atom_site_fract_x
_atom_site_fract_y
_atom_site_fract_z
Tb1 0.0000 0.0000 0.0000
Sc1 0.0000 0.0000 0.5000
Ni1 0.2500 0.2500 0.2500
# **Size of the total moment**: 0.000 μB/atom
# **Energy above the lowest structure with this stoichiometry**: 41 meV/atom
# **Fermi-level density of states**: 1.192 states/eV/atom
# **E**: -96.5 eV/cell
# **ΔH_f (0 K)**: -0.4017 eV per atom

Q: Look up the Fermi-level density of states of the sixth one.
A: 1.293 states/eV/atom

Q: Among the records above, which one has the highest size of the total moment?
A: Tb12ScNi6

Q: Which of these has the highest E?
A: number 4

Q: Which of these has the highest E?
A: number 4